1.
The following is a PBE calculation of a geometry-optimized AlPb2O structure, from the Alexandria database.

Cell: 5.955 5.955 12.233 Å, 90.00 90.00 90.00°
Space group I-42d (No. 122)
Symmetry-distinct sites (fractional):
1 Al 0.000 0.000 0.000 x4
2 Pb 0.184 0.250 0.625 x8
3 O 0.000 0.000 0.500 x4

Properties
final energy: -4.102 eV per atom
formation energy without anion corrections: -0.29 eV/f.u.
crystal system: tetragonal

=====

2.
The following is a PBE calculation of a geometry-optimized Al2PbO structure, from the Alexandria database.

Cell: 5.104 5.104 11.489 Å, 90.00 90.00 90.00°
Space group I-42d (No. 122)
Symmetry-distinct sites (fractional):
1 Al 0.079 0.250 0.125 x8
2 Pb 0.000 0.000 0.500 x4
3 O 0.000 0.000 0.000 x4

Properties
final energy: -4.764 eV per atom
formation energy without anion corrections: -2.90 eV/f.u.
crystal system: tetragonal

=====

3.
The following is a PBE calculation of a geometry-optimized AlPb2O4 structure, from the Alexandria database.

Cell: 3.775 3.775 12.880 Å, 90.00 90.00 90.00°
Space group I4/mmm (No. 139)
Symmetry-distinct sites (fractional):
1 Al 0.000 0.000 0.000 x2
2 Pb 0.000 0.000 0.357 x4
3 O 0.000 0.000 0.157 x4
4 O 0.000 0.500 0.000 x4

Properties
final energy: -6.012 eV per atom
formation energy without anion corrections: -11.09 eV/f.u.
crystal system: tetragonal

=====

4.
The following is a PBE calculation of a geometry-optimized AlPbO2 structure, from the Alexandria database.

Cell: 6.072 6.072 6.072 Å, 90.00 90.00 90.00°
Space group Fm-3m (No. 225)
Symmetry-distinct sites (fractional):
1 Al 0.000 0.000 0.000 x4
2 Pb 0.000 0.000 0.500 x4
3 O 0.250 0.250 0.250 x8

Properties
final energy: -4.826 eV per atom
formation energy without anion corrections: -1.94 eV/f.u.
crystal system: cubic

=====

5.
The following is a PBE calculation of a geometry-optimized AlPb2O structure, from the Alexandria database.

Cell: 6.948 6.948 6.948 Å, 90.00 90.00 90.00°
Space group Fm-3m (No. 225)
Symmetry-distinct sites (fractional):
1 Al 0.000 0.000 0.000 x4
2 Pb 0.250 0.250 0.250 x8
3 O 0.000 0.000 0.500 x4

Properties
final energy: -3.850 eV per atom
formation energy without anion corrections: 0.72 eV/f.u.
crystal system: cubic

=====

6.
The following is a PBE calculation of a geometry-optimized AlPb3O structure, from the Alexandria database.

Cell: 5.019 5.019 5.019 Å, 90.00 90.00 90.00°
Space group Pm-3m (No. 221)
Symmetry-distinct sites (fractional):
1 Al 0.000 0.000 0.000 x1
2 Pb 0.000 0.500 0.500 x3
3 O 0.500 0.500 0.500 x1

Properties
final energy: -4.101 eV per atom
formation energy without anion corrections: -0.68 eV/f.u.
crystal system: cubic

=====

7.
The following is a PBE calculation of a geometry-optimized AlPb3O structure, from the Alexandria database.

Cell: 5.359 5.359 5.359 Å, 90.00 90.00 90.00°
Space group Pm-3m (No. 221)
Symmetry-distinct sites (fractional):
1 Al 0.000 0.000 0.000 x1
2 Pb 0.000 0.000 0.500 x3
3 O 0.500 0.500 0.500 x1

Properties
final energy: -3.255 eV per atom
formation energy without anion corrections: 3.55 eV/f.u.
crystal system: cubic

=====

8.
The following is a PBE calculation of a geometry-optimized Al2PbO structure, from the Alexandria database.

Cell: 6.573 6.573 6.573 Å, 90.00 90.00 90.00°
Space group Fm-3m (No. 225)
Symmetry-distinct sites (fractional):
1 Al 0.250 0.250 0.250 x8
2 Pb 0.000 0.000 0.000 x4
3 O 0.000 0.000 0.500 x4

Properties
final energy: -3.751 eV per atom
formation energy without anion corrections: 1.15 eV/f.u.
crystal system: cubic